1.
# Nd8TlBi5

A geometry-optimized Nd8TlBi5 structure (PBE, the Alexandria database).

a b c (Å): 8.394 8.394 8.394
angles (deg): 109.61 109.61 109.19
Atoms (fractional coordinates):
Nd 0.016 0.126 0.750
Nd 0.230 0.480 0.606
Nd 0.376 0.266 0.250
Nd 0.376 0.770 0.250
Nd 0.520 0.125 0.750
Nd 0.734 0.984 0.110
Nd 0.874 0.624 0.890
Nd 0.875 0.624 0.394
Tl 0.750 0.250 0.500
Bi 0.002 0.376 0.126
Bi 0.125 0.998 0.375
Bi 0.250 0.875 0.874
Bi 0.500 0.500 0.000
Bi 0.624 0.750 0.625

Theoretical density ... 8.8 g cm⁻³
D(E_F) ... 15.1 states/eV per cell
E_form ... -0.7540 eV per atom

2.
# Tm2HfTl

A geometry-optimized Tm2HfTl structure (PBE, the Alexandria database).

a b c (Å): 11.784 11.784 11.784
angles (deg): 16.05 16.05 16.05
Atoms (fractional coordinates):
Tm 0.090 0.090 0.090
Tm 0.910 0.910 0.910
Hf 0.000 0.000 0.000
Tl 0.500 0.500 0.500

Theoretical density ... 11.0 g cm⁻³
D(E_F) ... 5.0 states/eV per cell
E_form ... 0.3008 eV per atom
ΔE to the lowest computed polymorph ... 0.4095 eV/atom

3.
# LiAcPtAu

A geometry-optimized LiAcPtAu structure (PBE, the Alexandria database).

a b c (Å): 5.107 5.107 5.107
angles (deg): 60.00 60.00 60.00
Atoms (fractional coordinates):
Li 0.000 0.000 0.000
Ac 0.500 0.500 0.500
Pt 0.750 0.750 0.750
Au 0.250 0.250 0.250

Theoretical density ... 11.0 g cm⁻³
D(E_F) ... 3.5 states/eV per cell
E_form ... -0.6725 eV per atom
ΔE to the lowest computed polymorph ... 0.1590 eV/atom